Entry 1:
{"formula": "ThNiH", "functional": "GGA-PBE", "state": "relaxed", "e_tot_ev_per_atom": -5.753, "lattice": [[3.872, 0.000, 0.000], [1.936, 3.354, 0.000], [1.936, 1.118, 7.885]], "species": ["H", "Th", "Ni", "Th", "Ni", "H"], "frac_coords": [[0.135, 0.135, 0.595], [0.765, 0.765, 0.706], [0.642, 0.642, 0.074], [0.235, 0.235, 0.294], [0.358, 0.358, 0.926], [0.865, 0.865, 0.405]]}

***

Entry 2:
{"formula": "NbS2F", "functional": "GGA-PBE", "state": "relaxed", "e_form_raw_mev_per_atom": -675, "e_tot_ev_per_atom": -5.724, "lattice": [[0.000, 3.060, 3.060], [3.060, 0.000, 3.060], [3.060, 3.060, 0.000]], "species": ["S", "Nb", "F", "S"], "frac_coords": [[0.250, 0.250, 0.250], [0.500, 0.500, 0.500], [0.000, 0.000, 0.000], [0.750, 0.750, 0.750]]}

***

Entry 3:
{"formula": "TlCuGe", "functional": "GGA-PBE", "state": "relaxed", "e_tot_ev_per_atom": -3.526, "delta_e_f_ev_per_atom": 0.168, "lattice": [[3.430, 0.019, 0.003], [-1.895, 9.392, 0.039], [1.710, 0.263, 4.172]], "species": ["Ge", "Tl", "Ge", "Cu", "Cu", "Tl"], "frac_coords": [[0.710, 0.722, 0.349], [0.955, 0.228, 0.340], [0.402, 0.476, 0.704], [0.691, 0.470, 0.123], [0.989, 0.702, 0.770], [0.552, 0.957, 0.918]]}

***

Entry 4:
{"formula": "KY2OsPt", "functional": "GGA-PBE", "state": "relaxed", "e_tot_ev_per_atom": -6.125, "delta_e_f_ev_per_atom": 0.134, "lattice": [[5.391, 0.000, 0.000], [0.000, 5.042, 0.000], [0.000, 0.000, 5.391]], "species": ["Y", "K", "Pt", "Os", "Y"], "frac_coords": [[0.500, 0.000, 0.000], [0.500, 0.500, 0.500], [0.000, 0.500, 0.000], [0.000, 0.000, 0.000], [0.000, 0.000, 0.500]]}

***

Entry 5:
{"formula": "AcLaPrTe3", "functional": "GGA-PBE", "state": "relaxed", "e_form_raw_mev_per_atom": -1355, "e_tot_ev_per_atom": -5.229, "lattice": [[4.639, 0.000, 0.000], [0.000, 8.893, -0.659], [0.000, -3.030, 10.609]], "species": ["Te", "La", "Ac", "La", "Te", "Ac", "Te", "Te", "Te", "Pr", "Pr", "Te"], "frac_coords": [[0.250, 0.104, 0.899], [0.250, 0.644, 0.118], [0.250, 0.185, 0.230], [0.750, 0.356, 0.882], [0.750, 0.896, 0.101], [0.750, 0.815, 0.770], [0.250, 0.547, 0.798], [0.750, 0.453, 0.202], [0.750, 0.247, 0.470], [0.250, 0.140, 0.617], [0.750, 0.860, 0.383], [0.250, 0.753, 0.530]]}

***

Entry 6:
{"formula": "Pm3Nd5Tl3", "functional": "GGA-PBE", "state": "relaxed", "e_tot_ev_per_atom": -3.952, "delta_e_f_ev_per_atom": 0.156, "lattice": [[-1.770, 1.364, -2.713], [7.133, -4.823, -7.079], [-9.170, -5.444, 3.246]], "species": ["Tl", "Pm", "Pm", "Tl", "Nd", "Nd", "Nd", "Tl", "Nd", "Nd", "Pm"], "frac_coords": [[0.000, 0.000, 0.160], [0.500, 0.606, 0.606], [0.500, 0.000, 0.394], [0.000, 0.160, 0.000], [0.500, 0.298, 0.298], [0.500, 0.667, 0.333], [0.500, 0.702, 0.000], [0.000, 0.840, 0.840], [0.500, 0.333, 0.667], [0.500, 0.000, 0.702], [0.500, 0.394, 0.000]]}